[1]
This record from Alexandria via LeMat-Bulk describes an optimized crystal structure of Mg5Be. The functional is GGA-PBEsol.

Cell and atoms, written as extended XYZ:
```
6
Lattice="-0.514 -2.910 -0.921 3.046 -0.549 0.036 -0.789 -3.606 11.833" Properties=species:S:1:pos:R:3 pbc="T T T"
Be 0.872 -3.533 5.474
Mg -0.494 -2.257 7.406
Mg 0.624 -4.667 9.194
Mg 0.000 0.000 0.000
Mg 1.120 -2.399 1.753
Mg -0.295 -1.349 4.427
```

Properties
ΔE_f: 0.1449 eV/atom
Total energy: -1.953 eV/atom
Energy above the most stable polymorph in this dataset: 0.0 kJ per mole of atoms
Density: 1.8 g cm⁻³
Space group: P4/mmm (123)



[2]
This record from Alexandria via LeMat-Bulk describes an optimized crystal structure of Sb9PO25. The functional is GGA-PBEsol.

Cell and atoms, written as extended XYZ:
```
35
Lattice="3.923 0.000 0.000 1.962 10.820 0.000 1.962 0.000 10.820" Properties=species:S:1:pos:R:3 pbc="T T T"
Sb 0.000 0.000 0.000
Sb 5.781 3.501 9.536
Sb 2.073 2.214 5.976
Sb 3.812 5.976 8.606
Sb 4.027 1.284 3.501
Sb 4.027 9.536 7.319
Sb 3.812 4.844 2.214
Sb 5.996 8.606 4.844
Sb 1.858 7.319 1.284
P 2.943 5.410 5.410
O 1.962 0.000 0.000
O 5.919 1.962 10.607
O 2.248 0.336 6.285
O 3.808 3.974 9.158
O 5.712 2.616 7.806
O 3.637 6.285 10.484
O 5.764 5.422 8.584
O 4.044 2.236 5.422
O 2.077 1.662 3.974
O 3.831 5.341 6.676
O 3.889 0.213 1.962
O 2.054 4.144 5.341
O 4.096 7.806 8.204
O 4.096 3.014 2.616
O 5.978 6.676 5.479
O 3.889 10.607 8.858
O 3.831 5.479 4.144
O 6.000 9.158 6.846
O 4.044 8.584 5.398
O 1.841 5.398 2.236
O 3.637 4.535 0.336
O 5.712 8.204 3.014
O 3.808 6.846 1.662
O 6.172 10.484 4.535
O 1.996 8.858 0.213
```

Properties
Total energy: -6.391 eV/atom
Formation energy from raw total energies: -1.30 eV/atom
Density: 5.5 g cm⁻³
Space group: I-4 (82)